[1]
VASP calculation (GGA-PBEsol) on a geometry-optimized CeN structure.

Calculated values
Its raw formation energy is -1.601 eV per atom. The density of states at the Fermi level is 2.389 states/eV/f.u.

Cell lengths 3.525, 3.525, 3.525 Å; angles 60.00, 60.00, 60.00 degrees
Atoms (fractional coordinates):
N (0.500, 0.500, 0.500)
Ce (0.000, 0.000, 0.000)

***

[2]
VASP calculation (GGA-PBEsol) on a geometry-optimized CeNdN2 structure.

Calculated values
Its raw formation energy is -1.580 eV per atom. The density of states at the Fermi level is 2.327 states/eV/f.u.

Cell lengths 3.564, 3.564, 6.169 Å; angles 73.21, 73.21, 60.00 degrees
Atoms (fractional coordinates):
N (0.756, 0.756, 0.733)
N (0.244, 0.244, 0.267)
Nd (0.000, 0.000, 0.000)
Ce (0.500, 0.500, 0.500)

***

[3]
VASP calculation (GGA-PBEsol) on a geometry-optimized Ce2SeN2 structure.

Calculated values
Its raw formation energy is -1.737 eV per atom.

Cell lengths 3.888, 3.888, 6.902 Å; angles 90.00, 90.00, 120.00 degrees
Atoms (fractional coordinates):
Ce (0.667, 0.333, 0.705)
Ce (0.333, 0.667, 0.295)
N (0.333, 0.667, 0.625)
N (0.667, 0.333, 0.375)
Se (0.000, 0.000, 0.000)

***

[4]
VASP calculation (GGA-PBEsol) on a geometry-optimized Ce3SnN structure.

Calculated values
Its raw formation energy is -0.995 eV per atom. The density of states at the Fermi level is 9.659 states/eV/f.u.

Cell lengths 4.815, 4.815, 4.815 Å; angles 90.00, 90.00, 90.00 degrees
Each line ends with the local moment (μB).
Atoms (fractional coordinates):
Sn (0.500, 0.500, 0.500)  -0.01
N (0.000, 0.000, 0.000)  -0.03
Ce (0.000, 0.000, 0.500)  0.40
Ce (0.000, 0.500, 0.000)  0.40
Ce (0.500, 0.000, 0.000)  0.40

***

[5]
VASP calculation (GGA-PBEsol) on a geometry-optimized SrCeN2 structure.

Calculated values
Its raw formation energy is -1.299 eV per atom.

Cell lengths 3.616, 3.616, 6.279 Å; angles 73.27, 73.27, 60.00 degrees
Atoms (fractional coordinates):
N (0.235, 0.235, 0.294)
N (0.765, 0.765, 0.706)
Sr (0.000, 0.000, 0.000)
Ce (0.500, 0.500, 0.500)

***

[6]
VASP calculation (GGA-PBEsol) on a geometry-optimized SrCeN2 structure.

Calculated values
Its raw formation energy is -1.252 eV per atom.

Cell lengths 5.133, 5.133, 6.271 Å; angles 114.16, 114.16, 90.00 degrees
Atoms (fractional coordinates):
N (0.970, 0.470, 0.941)
N (0.530, 0.030, 0.059)
N (0.280, 0.280, 0.559)
N (0.720, 0.720, 0.441)
Ce (0.500, 0.500, 0.000)
Ce (0.750, 0.250, 0.500)
Sr (0.250, 0.750, 0.500)
Sr (0.000, 0.000, 0.000)

***

[7]
VASP calculation (GGA-PBEsol) on a geometry-optimized SrCeN2 structure.

Calculated values
Its raw formation energy is -1.058 eV per atom.

Cell lengths 3.654, 3.654, 4.954 Å; angles 90.00, 90.00, 90.00 degrees
Each line ends with the local moment (μB).
Atoms (fractional coordinates):
N (0.000, 0.000, 0.500)  0.01
N (0.500, 0.500, 0.000)  0.01
Sr (0.000, 0.000, 0.000)  0.00
Ce (0.500, 0.500, 0.500)  -0.11

***

[8]
VASP calculation (GGA-PBEsol) on a geometry-optimized Ce3Ta2N6 structure.

Calculated values
Its raw formation energy is -1.496 eV per atom. The density of states at the Fermi level is 11.825 states/eV/f.u.

Cell lengths 4.006, 4.006, 10.009 Å; angles 101.54, 101.54, 90.00 degrees
Each line ends with the local moment (μB).
Atoms (fractional coordinates):
Ta (0.402, 0.402, 0.803)  0.04
Ta (0.598, 0.598, 0.197)  0.04
N (0.918, 0.418, 0.835)  -0.01
N (0.082, 0.582, 0.165)  -0.01
N (0.299, 0.299, 0.598)  -0.02
N (0.701, 0.701, 0.402)  -0.02
N (0.418, 0.918, 0.835)  -0.01
N (0.582, 0.082, 0.165)  -0.01
Ce (0.181, 0.181, 0.361)  0.60
Ce (0.000, 0.000, 0.000)  0.21
Ce (0.819, 0.819, 0.639)  0.60

***

[9]
VASP calculation (GGA-PBEsol) on a geometry-optimized CeU4N5 structure.

Calculated values
Its raw formation energy is -1.466 eV per atom. The density of states at the Fermi level is 17.580 states/eV/f.u.

Cell lengths 3.426, 3.426, 14.043 Å; angles 82.99, 82.99, 60.00 degrees
Each line ends with the local moment (μB).
Atoms (fractional coordinates):
U (0.800, 0.800, 0.599)  1.01
U (0.598, 0.598, 0.205)  0.79
U (0.200, 0.200, 0.401)  1.01
U (0.402, 0.402, 0.795)  0.79
N (0.705, 0.705, 0.886)  -0.03
N (0.500, 0.500, 0.500)  -0.05
N (0.899, 0.899, 0.303)  -0.05
N (0.295, 0.295, 0.114)  -0.03
N (0.101, 0.101, 0.697)  -0.05
Ce (0.000, 0.000, 0.000)  -0.06

***

[10]
VASP calculation (GGA-PBEsol) on a geometry-optimized NaCeS2 structure.

Calculated values
Its raw formation energy is -1.698 eV per atom. The density of states at the Fermi level is 6.581 states/eV/f.u.

Cell lengths 4.070, 4.070, 6.970 Å; angles 73.03, 73.03, 60.00 degrees
Each line ends with the local moment (μB).
Atoms (fractional coordinates):
S (0.256, 0.256, 0.233)  -0.02
S (0.744, 0.744, 0.767)  -0.02
Ce (0.000, 0.000, 0.000)  0.91
Na (0.500, 0.500, 0.500)  0.00

***

[11]
VASP calculation (GGA-PBEsol) on a geometry-optimized NaCeS2 structure.

Calculated values
Its raw formation energy is -1.651 eV per atom. The density of states at the Fermi level is 6.624 states/eV/f.u.

Cell lengths 4.014, 4.014, 5.517 Å; angles 90.00, 90.00, 90.00 degrees
Each line ends with the local moment (μB).
Atoms (fractional coordinates):
Ce (0.500, 0.500, 0.500)  0.74
Na (0.000, 0.000, 0.000)  0.00
S (0.000, 0.000, 0.500)  -0.02
S (0.500, 0.500, 0.000)  -0.02

***

[12]
VASP calculation (GGA-PBEsol) on a geometry-optimized NaCeS2 structure.

Calculated values
Its raw formation energy is -1.690 eV per atom. The density of states at the Fermi level is 6.707 states/eV/f.u.

Cell lengths 5.618, 5.618, 7.093 Å; angles 113.33, 113.33, 90.00 degrees
Each line ends with the local moment (μB).
Atoms (fractional coordinates):
S (0.513, 0.013, 0.026)  -0.03
S (0.987, 0.487, 0.974)  -0.03
S (0.737, 0.737, 0.474)  -0.03
S (0.263, 0.263, 0.526)  -0.03
Ce (0.750, 0.250, 0.500)  0.91
Ce (0.500, 0.500, 0.000)  0.91
Na (0.250, 0.750, 0.500)  0.00
Na (0.000, 0.000, 0.000)  0.00